Computed, not measured: a geometry-optimized AcPm3Pb2 structure at the GGA-PBE level of DFT.

Values from the calculation:
The calculation puts the raw total energy at -55.96 eV for the cell shown. The calculation puts the size of the total moment at 0.005 Bohr magnetons per cell. The calculation puts the formation energy at -0.37 eV/atom. The density of states at the Fermi level comes out at 15.00 states/eV/cell.

Geometry as POSCAR:
```
AcPm3Pb2
1.0
-1.9144 4.4181 0.5911
-7.8041 -6.5363 3.6729
7.7701 2.6477 5.3758
Ac Pm Pb
2 6 4
direct
0.8839 0.7679 0.9069
0.1161 0.2321 0.0931
0.3069 0.6138 0.5008
0.9418 0.8836 0.5712
0.3561 0.7123 0.1952
0.0582 0.1164 0.4288
0.6931 0.3862 0.4992
0.6439 0.2877 0.8048
0.5111 0.0222 0.1764
0.7603 0.5207 0.2253
0.2397 0.4793 0.7747
0.4889 0.9778 0.8236
```